Entry from Alexandria: AcHgMo2O7 after structural relaxation (PBE+U).

Cell: 3.926 3.926 13.085 Å, 90.00 90.00 90.00°
Positions (direct):
Ac (0.000, 0.000, 0.000)
Hg (0.000, 0.000, 0.500)
Mo (0.500, 0.500, 0.178)
Mo (0.500, 0.500, 0.822)
O (0.000, 0.500, 0.145)
O (0.000, 0.500, 0.855)
O (0.500, 0.000, 0.145)
O (0.500, 0.000, 0.855)
O (0.500, 0.500, 0.000)
O (0.500, 0.500, 0.308)
O (0.500, 0.500, 0.692)

Results
**Total magnetization**: 1.1 Bohr magnetons per cell
**Mass density**: 6.02 Mg/m³
**Uncorrected energy**: -6.727 eV/atom
**Fermi-level density of states**: 1.70 states/eV per cell